Compound: Pr2Ge2Pd5
Source: Alexandria via LeMat-Bulk
Functional: PBE-GGA
Structure: optimized geometry

Cell lengths 4.336, 4.336, 9.168 Å; angles 90.00, 90.00, 90.00 degrees
Element x y z (fractional)
Pr  0.000  0.000  0.000
Pr  0.000  0.000  0.500
Ge  0.500  0.500  0.137
Ge  0.500  0.500  0.863
Pd  0.000  0.500  0.273
Pd  0.000  0.500  0.727
Pd  0.500  0.000  0.273
Pd  0.500  0.000  0.727
Pd  0.500  0.500  0.500

Computed properties:
Space-group type: P4/mmm (123)
Formation enthalpy at 0 K, meV/atom: -794
Calculated volume, Å³/cell: 172